Below is an optimized crystal structure of Pm7Er12Th, with properties calculated at the PBE-GGA level.

```
20
Lattice="-0.996 5.692 6.529 -4.609 -5.821 4.571 7.248 -2.931 3.860" Properties=species:S:1:pos:R:3 pbc="T T T"
Pm 3.229 -1.629 11.994
Pm 0.580 1.430 3.313
Pm 1.970 -1.795 2.501
Pm 0.821 -1.530 7.480
Pm -0.327 -1.264 12.459
Pm 1.062 -4.490 11.647
Pm -1.586 -1.430 2.966
Er 3.212 1.079 9.827
Er -0.914 2.179 6.352
Er 2.341 1.181 6.641
Er -0.369 0.829 9.319
Er 4.298 -1.420 5.044
Er 3.915 -1.891 8.292
Er -2.273 -1.168 6.667
Er -2.656 -1.639 9.916
Er 2.012 -3.888 5.641
Er -0.699 -4.241 8.318
Er 2.556 -5.238 8.607
Er -1.570 -4.139 5.132
Th 0.000 0.000 0.000
```

- Total magnetization: 0.00 μB per formula unit
- ΔH_f (0 K): 237 meV/atom
- Symmetry: R-3
- V: 662.5 Å³ per cell



Below is an optimized crystal structure of Pm2Er7Th2, with properties calculated at the PBE-GGA level.

```
11
Lattice="-6.199 -5.196 0.138 -7.951 -0.386 -6.759 4.932 -6.093 1.997" Properties=species:S:1:pos:R:3 pbc="T T T"
Pm -2.963 -6.168 -3.081
Pm -6.255 -5.507 -1.543
Er -5.657 -2.920 -4.040
Er -6.326 -8.885 -2.912
Er -2.961 -5.541 0.233
Er -3.976 -0.193 -3.380
Er -6.257 -6.134 -4.857
Er -3.561 -8.755 -0.584
Er -2.892 -2.790 -1.712
Th -0.896 -7.986 1.511
Th -0.371 -3.302 0.625
```

- Excess energy over the best structure of this formula in the dataset: 0 meV per atom
- Total magnetization: 0.00 μB per formula unit
- ΔH_f (0 K): 180 meV/atom
- Symmetry: C2/m
- V: 357.7 Å³ per cell



Below is an optimized crystal structure of Pm4Er7Th, with properties calculated at the PBE-GGA level.

```
12
Lattice="5.928 0.000 0.000 2.964 11.182 -0.379 2.964 0.183 6.066" Properties=species:S:1:pos:R:3 pbc="T T T"
Pm 5.928 2.583 2.943
Pm 5.928 8.782 2.743
Pm 8.892 7.631 4.539
Pm 2.964 3.734 1.147
Er 8.892 10.419 2.704
Er 2.964 0.947 2.983
Er 2.964 7.677 0.864
Er 8.892 3.688 4.823
Er 5.928 5.688 4.465
Er 2.964 0.000 0.000
Er 5.928 5.677 1.222
Th 0.000 0.000 0.000
```

- Excess energy over the best structure of this formula in the dataset: 278 meV per atom
- Total magnetization: 0.00 μB per formula unit
- ΔH_f (0 K): 298 meV/atom
- Symmetry: C2/m
- V: 402.5 Å³ per cell



Below is an optimized crystal structure of Pm12Er5Th, with properties calculated at the PBE-GGA level.

```
18
Lattice="-2.288 1.426 -11.886 -8.918 -2.420 -4.822 -2.004 5.348 1.051" Properties=species:S:1:pos:R:3 pbc="T T T"
Pm -2.944 4.118 -8.914
Pm -1.347 2.656 -1.922
Pm -1.703 1.281 -8.233
Pm -2.588 5.493 -2.602
Pm -6.509 -1.066 -6.981
Pm -7.811 3.798 -2.410
Pm -5.399 0.555 -13.248
Pm -6.700 5.420 -8.677
Pm -5.274 2.455 -6.797
Pm -8.606 2.286 -12.425
Pm -4.604 2.067 -3.233
Pm -7.936 1.898 -8.861
Er -2.146 3.387 -5.418
Er -7.804 1.107 -4.602
Er -5.406 3.247 -11.056
Er -7.927 -0.847 -11.073
Er -3.279 -0.148 -5.635
Th 0.000 0.000 0.000
```

- Total magnetization: 0.00 μB per formula unit
- ΔH_f (0 K): 84 meV/atom
- Symmetry: C2/m
- V: 598.5 Å³ per cell



Below is an optimized crystal structure of Pm3ErTh, with properties calculated at the PBE-GGA level.

```
5
Lattice="-2.951 1.540 0.802 -3.965 -4.032 -6.841 1.469 -1.663 8.594" Properties=species:S:1:pos:R:3 pbc="T T T"
Pm -1.527 -0.462 2.578
Pm -2.712 -3.166 3.411
Pm 0.253 -2.193 5.140
Er -0.292 -1.017 8.183
Th -1.651 -3.023 -0.267
```

- Excess energy over the best structure of this formula in the dataset: 214 meV per atom
- Total magnetization: 0.00 μB per formula unit
- ΔH_f (0 K): 416 meV/atom
- Symmetry: Amm2
- V: 182.9 Å³ per cell



Below is an optimized crystal structure of Pm3Er7Th, with properties calculated at the PBE-GGA level.

```
11
Lattice="8.690 0.000 0.000 0.000 7.015 0.000 0.000 -3.508 6.075" Properties=species:S:1:pos:R:3 pbc="T T T"
Pm 6.792 1.736 3.048
Pm 6.792 0.000 6.054
Pm 6.792 -1.736 3.048
Er 1.066 -1.733 5.051
Er 1.066 0.000 2.050
Er 1.051 3.508 2.025
Er 3.871 5.256 1.016
Er 3.871 1.759 1.016
Er 3.871 3.508 4.044
Er 1.066 1.733 5.051
Th 3.868 0.000 4.050
```

- Total magnetization: 0.00 μB per formula unit
- ΔH_f (0 K): 179 meV/atom
- Symmetry: P3m1
- V: 370.4 Å³ per cell



Below is an optimized crystal structure of Pm4Er7Th, with properties calculated at the PBE-GGA level.

```
12
Lattice="-0.243 -3.434 6.211 6.922 -2.749 2.834 2.541 2.011 11.295" Properties=species:S:1:pos:R:3 pbc="T T T"
Pm 5.352 -2.910 8.774
Pm 3.868 -1.263 11.566
Pm 7.292 -3.489 14.543
Pm 1.929 -0.683 5.798
Er 5.789 -1.938 17.370
Er 3.432 -2.235 2.970
Er 3.742 -2.989 14.711
Er 5.479 -1.183 5.630
Er 7.432 -1.798 11.484
Er -0.121 -1.717 3.105
Er 1.789 -2.374 8.857
Th 0.000 0.000 0.000
```

- Excess energy over the best structure of this formula in the dataset: 0 meV per atom
- Total magnetization: 0.00 μB per formula unit
- ΔH_f (0 K): 21 meV/atom
- Symmetry: P-1
- V: 382.6 Å³ per cell



Below is an optimized crystal structure of PmEr3Th, with properties calculated at the PBE-GGA level.

```
10
Lattice="6.257 -0.055 0.076 -3.023 6.988 -5.738 -0.106 -1.961 8.970" Properties=species:S:1:pos:R:3 pbc="T T T"
Pm 2.571 0.158 1.712
Pm 0.558 4.815 1.597
Er -0.520 4.389 -1.731
Er 3.621 3.380 2.751
Er 2.618 2.999 -0.624
Er 0.511 1.974 3.933
Er 3.649 0.584 5.040
Er -0.492 1.592 0.558
Th 0.411 -0.792 6.173
Th 2.718 5.765 -2.864
```

- Excess energy over the best structure of this formula in the dataset: 0 meV per atom
- Total magnetization: 0.00 μB per formula unit
- ΔH_f (0 K): 34 meV/atom
- Symmetry: P-1
- V: 320.8 Å³ per cell